{"formula": "MgAl2Pt", "functional": "PBE", "state": "optimized geometry", "lattice_angstrom": [[4.5739, -1.4780, 0.0000], [4.5739, 1.4780, 0.0000], [-0.8828, 0.0000, 4.8104]], "species": ["Mg", "Al", "Al", "Pt"], "fractional_positions": [[0.0000, 0.0000, 0.0000], [0.5145, 0.5145, 0.5127], [0.7625, 0.7625, 0.2781], [0.2499, 0.2499, 0.7428]], "formation_energy_mev_per_atom": -452, "crystal_system": "monoclinic"}